Compound: CdAsPtO
Source: the Open Quantum Materials Database
Functional: PBE-GGA
Structure: relaxed

a = 4.023 Å, b = 4.023 Å, c = 8.330 Å
α = 90.00°, β = 90.00°, γ = 90.00°
Sites, in units of the cell vectors:
O: 0.750 0.250 0.000
O: 0.250 0.750 0.000
Cd: 0.750 0.250 0.500
Cd: 0.250 0.750 0.500
Pt: 0.750 0.750 0.894
Pt: 0.250 0.250 0.106
As: 0.250 0.250 0.745
As: 0.750 0.750 0.255

Summary:
Space group   P4/nmm (129)
Total moment   0.0 μB/f.u.
Offset from the most stable computed form   17.003 kcal/mol of atoms

***

Compound: CdAsPtO
Source: the Open Quantum Materials Database
Functional: PBE-GGA
Structure: relaxed

a = 4.108 Å, b = 6.068 Å, c = 6.056 Å
α = 90.00°, β = 90.00°, γ = 90.00°
Sites, in units of the cell vectors:
O: 0.500 0.809 0.418
O: 0.500 0.191 0.918
Cd: 0.500 0.838 0.048
Cd: 0.500 0.162 0.548
Pt: 0.000 0.742 0.447
Pt: 0.000 0.258 0.947
As: 0.000 0.648 0.840
As: 0.000 0.352 0.340

Summary:
Space group   Pmc2_1 (26)
Total moment   0.0 μB/f.u.
Offset from the most stable computed form   5.882 kcal/mol of atoms